# 1
VASP calculation (PBE) on a geometry-optimized K2Tl6Au structure.

- M_tot (μB/cell) = 0.00
- VASP energy (eV for the cell shown) = -20.592
- volume (Å³/atom) = 32.3
- N(E_F) (states/eV per cell) = 4.324
- SG = C2/m, No. 12

a = 7.1043 Å, b = 7.1043 Å, c = 6.3842 Å
α = 96.17°, β = 96.17°, γ = 65.63°
Sites, in units of the cell vectors:
K (0.1931, 0.1931, 0.3222)
K (0.8069, 0.8069, 0.6778)
Tl (0.1332, 0.7070, 0.2052)
Tl (0.2930, 0.8668, 0.7948)
Tl (0.3516, 0.3516, 0.8438)
Tl (0.6484, 0.6484, 0.1562)
Tl (0.7070, 0.1332, 0.2052)
Tl (0.8668, 0.2930, 0.7948)
Au (0.5000, 0.5000, 0.5000)


# 2
VASP calculation (PBE) on a geometry-optimized KTl2Au2 structure.

- M_tot (μB/cell) = 0.00
- VASP energy (eV for the cell shown) = -25.763
- volume (Å³/atom) = 27.3
- N(E_F) (states/eV per cell) = 5.006
- SG = P4/mbm, No. 127

a = 8.4883 Å, b = 8.4883 Å, c = 3.7822 Å
α = 90.00°, β = 90.00°, γ = 90.00°
Sites, in units of the cell vectors:
K (0.0000, 0.0000, 0.0000)
K (0.5000, 0.5000, 0.0000)
Tl (0.1648, 0.3352, 0.5000)
Tl (0.3352, 0.8352, 0.5000)
Tl (0.6648, 0.1648, 0.5000)
Tl (0.8352, 0.6648, 0.5000)
Au (0.1270, 0.6270, 0.0000)
Au (0.3730, 0.1270, 0.0000)
Au (0.6270, 0.8730, 0.0000)
Au (0.8730, 0.3730, 0.0000)


# 3
VASP calculation (PBE) on a geometry-optimized KTl3Au2 structure.

- M_tot (μB/cell) = 0.00
- VASP energy (eV for the cell shown) = -30.559
- volume (Å³/atom) = 30.2
- N(E_F) (states/eV per cell) = 5.772
- SG = Cmcm, No. 63

a = 8.3066 Å, b = 8.3066 Å, c = 6.4906 Å
α = 90.00°, β = 90.00°, γ = 53.91°
Sites, in units of the cell vectors:
K (0.1724, 0.8276, 0.7500)
K (0.8276, 0.1724, 0.2500)
Tl (0.0573, 0.3579, 0.7500)
Tl (0.3338, 0.6662, 0.2500)
Tl (0.3579, 0.0573, 0.2500)
Tl (0.6421, 0.9427, 0.7500)
Tl (0.6662, 0.3338, 0.7500)
Tl (0.9427, 0.6421, 0.2500)
Au (0.3566, 0.3566, 0.0000)
Au (0.3566, 0.3566, 0.5000)
Au (0.6434, 0.6434, 0.0000)
Au (0.6434, 0.6434, 0.5000)


# 4
VASP calculation (PBE) on a geometry-optimized K3Tl3Au2 structure.

- M_tot (μB/cell) = 0.00
- VASP energy (eV for the cell shown) = -37.155
- volume (Å³/atom) = 33.7
- N(E_F) (states/eV per cell) = 8.795
- SG = Cmcm, No. 63

a = 6.6523 Å, b = 6.6523 Å, c = 17.5961 Å
α = 90.00°, β = 90.00°, γ = 136.12°
Sites, in units of the cell vectors:
K (0.0625, 0.9375, 0.6074)
K (0.0625, 0.9375, 0.8926)
K (0.3637, 0.6363, 0.7500)
K (0.6363, 0.3637, 0.2500)
K (0.9375, 0.0625, 0.1074)
K (0.9375, 0.0625, 0.3926)
Tl (0.3438, 0.6562, 0.2500)
Tl (0.3547, 0.6453, 0.5382)
Tl (0.3547, 0.6453, 0.9618)
Tl (0.6453, 0.3547, 0.0382)
Tl (0.6453, 0.3547, 0.4618)
Tl (0.6562, 0.3438, 0.7500)
Au (0.2289, 0.7711, 0.1075)
Au (0.2289, 0.7711, 0.3925)
Au (0.7711, 0.2289, 0.6075)
Au (0.7711, 0.2289, 0.8925)


# 5
VASP calculation (PBE) on a geometry-optimized KTl8Au6 structure.

- M_tot (μB/cell) = 0.00
- VASP energy (eV for the cell shown) = -40.245
- volume (Å³/atom) = 28.2
- N(E_F) (states/eV per cell) = 5.481
- SG = R-3, No. 148

a = 7.9735 Å, b = 7.9735 Å, c = 7.9735 Å
α = 68.63°, β = 68.63°, γ = 68.63°
Sites, in units of the cell vectors:
K (0.0000, 0.0000, 0.0000)
Tl (0.0966, 0.4335, 0.7768)
Tl (0.2232, 0.9034, 0.5665)
Tl (0.3394, 0.3394, 0.3394)
Tl (0.4335, 0.7768, 0.0966)
Tl (0.5665, 0.2232, 0.9034)
Tl (0.6606, 0.6606, 0.6606)
Tl (0.7768, 0.0966, 0.4335)
Tl (0.9034, 0.5665, 0.2232)
Au (0.0734, 0.7239, 0.4149)
Au (0.2761, 0.5851, 0.9266)
Au (0.4149, 0.0734, 0.7239)
Au (0.5851, 0.9266, 0.2761)
Au (0.7239, 0.4149, 0.0734)
Au (0.9266, 0.2761, 0.5851)


# 6
VASP calculation (PBE) on a geometry-optimized KTl11Au5 structure.

- M_tot (μB/cell) = 0.00
- VASP energy (eV for the cell shown) = -44.104
- volume (Å³/atom) = 29.1
- N(E_F) (states/eV per cell) = 7.381
- SG = C2/m, No. 12

a = 8.7598 Å, b = 8.7598 Å, c = 6.7879 Å
α = 97.76°, β = 97.76°, γ = 103.18°
Sites, in units of the cell vectors:
K (0.0000, 0.0000, 0.0000)
Tl (0.0000, 0.0000, 0.5000)
Tl (0.1525, 0.6682, 0.7006)
Tl (0.1913, 0.4503, 0.1409)
Tl (0.3318, 0.8475, 0.2994)
Tl (0.3410, 0.3410, 0.5857)
Tl (0.4503, 0.1913, 0.1409)
Tl (0.5497, 0.8087, 0.8591)
Tl (0.6590, 0.6590, 0.4143)
Tl (0.6682, 0.1525, 0.7006)
Tl (0.8087, 0.5497, 0.8591)
Tl (0.8475, 0.3318, 0.2994)
Au (0.0165, 0.3228, 0.7232)
Au (0.3228, 0.0165, 0.7232)
Au (0.5000, 0.5000, 0.0000)
Au (0.6772, 0.9835, 0.2768)
Au (0.9835, 0.6772, 0.2768)


# 7
VASP calculation (PBE) on a geometry-optimized K3Tl7Au2 structure.

- M_tot (μB/cell) = 0.00
- VASP energy (eV for the cell shown) = -26.961
- volume (Å³/atom) = 34.1
- N(E_F) (states/eV per cell) = 5.815
- SG = P-1, No. 2

a = 5.0814 Å, b = 5.2338 Å, c = 15.4090 Å
α = 92.79°, β = 90.61°, γ = 90.02°
Sites, in units of the cell vectors:
K (0.0000, 0.0000, 0.0000)
K (0.0144, 0.7389, 0.4087)
K (0.9856, 0.2611, 0.5913)
Tl (0.0079, 0.2054, 0.2365)
Tl (0.4888, 0.7603, 0.6215)
Tl (0.4918, 0.3079, 0.7722)
Tl (0.5000, 0.5000, 0.0000)
Tl (0.5082, 0.6921, 0.2278)
Tl (0.5112, 0.2397, 0.3785)
Tl (0.9921, 0.7946, 0.7635)
Au (0.4951, 0.8399, 0.8624)
Au (0.5049, 0.1601, 0.1376)


# 8
VASP calculation (PBE) on a geometry-optimized K4TlAu2 structure.

- M_tot (μB/cell) = 0.00
- VASP energy (eV for the cell shown) = -14.658
- volume (Å³/atom) = 41.6
- N(E_F) (states/eV per cell) = 3.993
- SG = R-3m, No. 166

a = 10.7959 Å, b = 10.7959 Å, c = 10.7959 Å
α = 30.71°, β = 30.71°, γ = 30.71°
Sites, in units of the cell vectors:
K (0.1134, 0.1134, 0.1134)
K (0.2937, 0.2937, 0.2937)
K (0.7063, 0.7063, 0.7063)
K (0.8866, 0.8866, 0.8866)
Tl (0.5000, 0.5000, 0.5000)
Au (0.4063, 0.4063, 0.4063)
Au (0.5937, 0.5937, 0.5937)


# 9
VASP calculation (PBE) on a geometry-optimized KTl5Au2 structure.

- M_tot (μB/cell) = 0.00
- VASP energy (eV for the cell shown) = -40.450
- volume (Å³/atom) = 29.8
- N(E_F) (states/eV per cell) = 5.340
- SG = Immm, No. 71

a = 4.4031 Å, b = 8.9504 Å, c = 12.0852 Å
α = 90.00°, β = 90.00°, γ = 90.00°
Sites, in units of the cell vectors:
K (0.0000, 0.0000, 0.0000)
K (0.5000, 0.5000, 0.5000)
Tl (0.0000, 0.2032, 0.3548)
Tl (0.0000, 0.2032, 0.6452)
Tl (0.0000, 0.5000, 0.0000)
Tl (0.0000, 0.7968, 0.3548)
Tl (0.0000, 0.7968, 0.6452)
Tl (0.5000, 0.0000, 0.5000)
Tl (0.5000, 0.2968, 0.1452)
Tl (0.5000, 0.2968, 0.8548)
Tl (0.5000, 0.7032, 0.1452)
Tl (0.5000, 0.7032, 0.8548)
Au (0.0000, 0.5000, 0.2519)
Au (0.0000, 0.5000, 0.7481)
Au (0.5000, 0.0000, 0.2481)
Au (0.5000, 0.0000, 0.7519)


# 10
VASP calculation (PBE) on a geometry-optimized KTl4Au4 structure.

- M_tot (μB/cell) = 0.00
- VASP energy (eV for the cell shown) = -49.292
- volume (Å³/atom) = 30.4
- N(E_F) (states/eV per cell) = 6.050
- SG = P4_2/n, No. 86

a = 9.6953 Å, b = 9.6953 Å, c = 5.8183 Å
α = 90.00°, β = 90.00°, γ = 90.00°
Sites, in units of the cell vectors:
K (0.2500, 0.2500, 0.2500)
K (0.7500, 0.7500, 0.7500)
Tl (0.1154, 0.6260, 0.1456)
Tl (0.1260, 0.8846, 0.6456)
Tl (0.3740, 0.6154, 0.6456)
Tl (0.3846, 0.8740, 0.1456)
Tl (0.6154, 0.1260, 0.8544)
Tl (0.6260, 0.3846, 0.3544)
Tl (0.8740, 0.1154, 0.3544)
Tl (0.8846, 0.3740, 0.8544)
Au (0.0728, 0.5804, 0.6569)
Au (0.0804, 0.9272, 0.1569)
Au (0.4196, 0.5728, 0.1569)
Au (0.4272, 0.9196, 0.6569)
Au (0.5728, 0.0804, 0.3431)
Au (0.5804, 0.4272, 0.8431)
Au (0.9196, 0.0728, 0.8431)
Au (0.9272, 0.4196, 0.3431)


# 11
VASP calculation (PBE) on a geometry-optimized K3Tl4Au4 structure.

- M_tot (μB/cell) = 0.00
- VASP energy (eV for the cell shown) = -27.849
- volume (Å³/atom) = 31.3
- N(E_F) (states/eV per cell) = 5.358
- SG = P-1, No. 2

a = 4.6456 Å, b = 5.0014 Å, c = 15.1840 Å
α = 99.28°, β = 98.75°, γ = 90.19°
Sites, in units of the cell vectors:
K (0.0000, 0.0000, 0.0000)
K (0.1447, 0.6468, 0.2880)
K (0.8553, 0.3532, 0.7120)
Tl (0.2536, 0.2506, 0.5033)
Tl (0.4038, 0.9018, 0.8114)
Tl (0.5962, 0.0982, 0.1886)
Tl (0.7464, 0.7494, 0.4967)
Au (0.3077, 0.8070, 0.6203)
Au (0.4526, 0.4476, 0.9054)
Au (0.5474, 0.5524, 0.0946)
Au (0.6923, 0.1930, 0.3797)


# 12
VASP calculation (PBE) on a geometry-optimized K4Tl3Au2 structure.

- M_tot (μB/cell) = 0.00
- VASP energy (eV for the cell shown) = -19.669
- volume (Å³/atom) = 36.6
- N(E_F) (states/eV per cell) = 4.490
- SG = C2/m, No. 12

a = 9.2993 Å, b = 9.2993 Å, c = 8.2313 Å
α = 108.03°, β = 108.03°, γ = 29.26°
Sites, in units of the cell vectors:
K (0.0847, 0.0847, 0.3649)
K (0.2718, 0.2718, 0.8268)
K (0.7282, 0.7282, 0.1732)
K (0.9153, 0.9153, 0.6351)
Tl (0.4046, 0.4046, 0.2924)
Tl (0.5000, 0.5000, 0.0000)
Tl (0.5954, 0.5954, 0.7076)
Au (0.0927, 0.0927, 0.9240)
Au (0.9073, 0.9073, 0.0760)


# 13
VASP calculation (PBE) on a geometry-optimized KTl2Au3 structure.

- M_tot (μB/cell) = 0.00
- VASP energy (eV for the cell shown) = -32.947
- volume (Å³/atom) = 28.0
- N(E_F) (states/eV per cell) = 3.516
- SG = Cmcm, No. 63

a = 7.0990 Å, b = 7.0990 Å, c = 6.8236 Å
α = 90.00°, β = 90.00°, γ = 77.75°
Sites, in units of the cell vectors:
K (0.1776, 0.8224, 0.7500)
K (0.8224, 0.1776, 0.2500)
Tl (0.2883, 0.2883, 0.0000)
Tl (0.2883, 0.2883, 0.5000)
Tl (0.7117, 0.7117, 0.0000)
Tl (0.7117, 0.7117, 0.5000)
Au (0.0450, 0.6864, 0.2500)
Au (0.3136, 0.9550, 0.2500)
Au (0.4412, 0.5588, 0.2500)
Au (0.5588, 0.4412, 0.7500)
Au (0.6864, 0.0450, 0.7500)
Au (0.9550, 0.3136, 0.7500)


# 14
VASP calculation (PBE) on a geometry-optimized KTl4Au3 structure.

- M_tot (μB/cell) = 0.00
- VASP energy (eV for the cell shown) = -21.442
- volume (Å³/atom) = 29.0
- N(E_F) (states/eV per cell) = 3.470
- SG = P4/mmm, No. 123

a = 4.8912 Å, b = 4.8912 Å, c = 9.6899 Å
α = 90.00°, β = 90.00°, γ = 90.00°
Sites, in units of the cell vectors:
K (0.0000, 0.0000, 0.0000)
Tl (0.0000, 0.5000, 0.3185)
Tl (0.0000, 0.5000, 0.6815)
Tl (0.5000, 0.0000, 0.3185)
Tl (0.5000, 0.0000, 0.6815)
Au (0.0000, 0.0000, 0.5000)
Au (0.5000, 0.5000, 0.1411)
Au (0.5000, 0.5000, 0.8589)


# 15
VASP calculation (PBE) on a geometry-optimized KTl10Au2 structure.

- M_tot (μB/cell) = 0.00
- VASP energy (eV for the cell shown) = -31.581
- volume (Å³/atom) = 30.1
- N(E_F) (states/eV per cell) = 7.121
- SG = Fmmm, No. 69

a = 11.2386 Å, b = 8.6102 Å, c = 8.4506 Å
α = 82.40°, β = 49.41°, γ = 48.19°
Sites, in units of the cell vectors:
K (0.0000, 0.0000, 0.0000)
Tl (0.0000, 0.0000, 0.5000)
Tl (0.0154, 0.3518, 0.6482)
Tl (0.2843, 0.4860, 0.5140)
Tl (0.3518, 0.0154, 0.9846)
Tl (0.4860, 0.2843, 0.7157)
Tl (0.5000, 0.5000, 0.0000)
Tl (0.5140, 0.7157, 0.2843)
Tl (0.6482, 0.9846, 0.0154)
Tl (0.7157, 0.5140, 0.4860)
Tl (0.9846, 0.6482, 0.3518)
Au (0.0000, 0.5000, 0.0000)
Au (0.5000, 0.0000, 0.5000)


# 16
VASP calculation (PBE) on a geometry-optimized KTl6Au structure.

- M_tot (μB/cell) = 0.00
- VASP energy (eV for the cell shown) = -18.866
- volume (Å³/atom) = 33.1
- N(E_F) (states/eV per cell) = 2.897
- SG = P4/mmm, No. 123

a = 5.1793 Å, b = 5.1793 Å, c = 9.8791 Å
α = 90.00°, β = 90.00°, γ = 90.00°
Sites, in units of the cell vectors:
K (0.0000, 0.0000, 0.0000)
Tl (0.0000, 0.5000, 0.3359)
Tl (0.0000, 0.5000, 0.6641)
Tl (0.5000, 0.0000, 0.3359)
Tl (0.5000, 0.0000, 0.6641)
Tl (0.5000, 0.5000, 0.1512)
Tl (0.5000, 0.5000, 0.8488)
Au (0.0000, 0.0000, 0.5000)


# 17
VASP calculation (PBE) on a geometry-optimized K2TlZnAu2 structure.

- M_tot (μB/cell) = 0.00
- VASP energy (eV for the cell shown) = -27.380
- volume (Å³/atom) = 30.7
- N(E_F) (states/eV per cell) = 5.491
- SG = Ibam, No. 72

a = 8.5622 Å, b = 8.5622 Å, c = 8.5622 Å
α = 126.60°, β = 75.11°, γ = 131.36°
Sites, in units of the cell vectors:
K (0.1800, 0.2115, 0.3915)
K (0.3200, 0.7115, 0.0315)
K (0.6800, 0.2885, 0.9685)
K (0.8200, 0.7885, 0.6085)
Tl (0.2500, 0.7500, 0.5000)
Tl (0.7500, 0.2500, 0.5000)
Zn (0.2500, 0.2500, 0.0000)
Zn (0.7500, 0.7500, 0.0000)
Au (0.0730, 0.7809, 0.8539)
Au (0.4270, 0.2809, 0.7078)
Au (0.5730, 0.7191, 0.2922)
Au (0.9270, 0.2191, 0.1461)


# 18
VASP calculation (PBE) on a geometry-optimized KTlZn2Au structure.

- M_tot (μB/cell) = 0.00
- VASP energy (eV for the cell shown) = -7.139
- volume (Å³/atom) = 35.8
- N(E_F) (states/eV per cell) = 3.162
- SG = P4/mmm, No. 123

a = 5.1787 Å, b = 5.1787 Å, c = 6.6660 Å
α = 90.00°, β = 90.00°, γ = 90.00°
Sites, in units of the cell vectors:
K (0.0000, 0.0000, 0.0000)
Tl (0.0000, 0.0000, 0.5000)
Zn (0.0000, 0.5000, 0.5000)
Zn (0.5000, 0.0000, 0.5000)
Au (0.5000, 0.5000, 0.0000)


# 19
VASP calculation (PBE) on a geometry-optimized KTlZn2Au structure.

- M_tot (μB/cell) = 0.00
- VASP energy (eV for the cell shown) = -9.307
- volume (Å³/atom) = 29.0
- N(E_F) (states/eV per cell) = 2.074
- SG = P4/mmm, No. 123

a = 5.0644 Å, b = 5.0644 Å, c = 5.6485 Å
α = 90.00°, β = 90.00°, γ = 90.00°
Sites, in units of the cell vectors:
K (0.0000, 0.0000, 0.0000)
Tl (0.5000, 0.5000, 0.0000)
Zn (0.0000, 0.5000, 0.5000)
Zn (0.5000, 0.0000, 0.5000)
Au (0.5000, 0.5000, 0.5000)


# 20
VASP calculation (PBE) on a geometry-optimized KUAu2 structure.

- M_tot (μB/cell) = 2.97
- VASP energy (eV for the cell shown) = -19.211
- volume (Å³/atom) = 27.7
- N(E_F) (states/eV per cell) = 8.754
- SG = P4/mmm, No. 123

a = 3.6636 Å, b = 3.6636 Å, c = 8.2558 Å
α = 90.00°, β = 90.00°, γ = 90.00°
Sites, in units of the cell vectors:
K (0.0000, 0.0000, 0.0000)
U (0.0000, 0.0000, 0.5000)
Au (0.5000, 0.5000, 0.3055)
Au (0.5000, 0.5000, 0.6945)


# 21
VASP calculation (PBE) on a geometry-optimized KVAu3 structure.

- M_tot (μB/cell) = 2.77
- VASP energy (eV for the cell shown) = -18.752
- volume (Å³/atom) = 27.1
- N(E_F) (states/eV per cell) = 5.398
- SG = Pm-3m, No. 221

a = 5.1333 Å, b = 5.1333 Å, c = 5.1333 Å
α = 90.00°, β = 90.00°, γ = 90.00°
Sites, in units of the cell vectors:
K (0.0000, 0.0000, 0.0000)
V (0.5000, 0.5000, 0.5000)
Au (0.0000, 0.5000, 0.5000)
Au (0.5000, 0.0000, 0.5000)
Au (0.5000, 0.5000, 0.0000)


# 22
VASP calculation (PBE) on a geometry-optimized KVAu3 structure.

- M_tot (μB/cell) = 3.19
- VASP energy (eV for the cell shown) = -12.640
- volume (Å³/atom) = 32.1
- N(E_F) (states/eV per cell) = 8.159
- SG = Pm-3m, No. 221

a = 5.4327 Å, b = 5.4327 Å, c = 5.4327 Å
α = 90.00°, β = 90.00°, γ = 90.00°
Sites, in units of the cell vectors:
K (0.0000, 0.0000, 0.0000)
V (0.5000, 0.5000, 0.5000)
Au (0.0000, 0.0000, 0.5000)
Au (0.0000, 0.5000, 0.0000)
Au (0.5000, 0.0000, 0.0000)